Record 1
Here is a relaxed TbPr2Y crystal from Alexandria via LeMat-Bulk. Energies are from PBE-GGA.

- size of the total moment (μB per formula unit) = 0.0
- crystal system = cubic
- formation energy from the elements (kJ/mol of atoms) = 10.1
- excess energy over the best structure of this formula in the dataset (meV per atom) = 96
- volume (Å³/atom) = 34.294
- Fermi-level density of states (states/eV/f.u.) = 7.50
- final energy (eV/atom) = -5.06

Lattice parameters (Å, degrees): 8.1868 8.1868 8.1868 90.00 90.00 90.00
Positions (direct):
1 Tb 0.0000 0.0000 0.0000
2 Tb 0.0000 0.5000 0.5000
3 Tb 0.5000 0.0000 0.5000
4 Tb 0.5000 0.5000 0.0000
5 Pr 0.2500 0.2500 0.2500
6 Pr 0.2500 0.2500 0.7500
7 Pr 0.2500 0.7500 0.2500
8 Pr 0.2500 0.7500 0.7500
9 Pr 0.7500 0.2500 0.2500
10 Pr 0.7500 0.2500 0.7500
11 Pr 0.7500 0.7500 0.2500
12 Pr 0.7500 0.7500 0.7500
13 Y 0.0000 0.0000 0.5000
14 Y 0.0000 0.5000 0.0000
15 Y 0.5000 0.0000 0.0000
16 Y 0.5000 0.5000 0.5000



Record 2
Here is a relaxed Tb2Pr9Y crystal from Alexandria via LeMat-Bulk. Energies are from PBE-GGA.

- size of the total moment (μB per formula unit) = 0.0
- crystal system = tetragonal
- formation energy from the elements (kJ/mol of atoms) = 1.3
- volume (Å³/atom) = 35.158
- Fermi-level density of states (states/eV/f.u.) = 20.44
- final energy (eV/atom) = -4.88

Lattice parameters (Å, degrees): 5.2007 5.2007 15.5982 90.00 90.00 90.00
Positions (direct):
1 Tb 0.0000 0.0000 0.1667
2 Tb 0.0000 0.0000 0.8333
3 Pr 0.0000 0.5000 0.0000
4 Pr 0.0000 0.5000 0.3329
5 Pr 0.0000 0.5000 0.6671
6 Pr 0.5000 0.0000 0.0000
7 Pr 0.5000 0.0000 0.3329
8 Pr 0.5000 0.0000 0.6671
9 Pr 0.5000 0.5000 0.1663
10 Pr 0.5000 0.5000 0.5000
11 Pr 0.5000 0.5000 0.8337
12 Y 0.0000 0.0000 0.5000